# 1
Here is a relaxed structure of SiP2Cl from Alexandria via LeMat-Bulk. Energies are from PBE-GGA.

abc: 4.5049 4.5049 4.5049
angles: 60.00 60.00 60.00
Element x y z (fractional)
Cl1 0.5000 0.5000 0.5000
P1 0.0000 0.0000 0.0000
P2 0.2500 0.2500 0.2500
Si1 0.7500 0.7500 0.7500

Summary:
E_tot ... -3.857 eV/atom
Distance to the lowest polymorph of the same formula ... 718.3 meV/atom
Uncorrected formation energy ... 0.67 eV/atom
Total magnetic moment ... 0.000 Bohr magnetons per cell

***

# 2
Here is a relaxed structure of SiP2Cl from Alexandria via LeMat-Bulk. Energies are from PBE-GGA.

abc: 3.6402 3.6316 8.7696
angles: 38.37 90.00 90.00
Element x y z (fractional)
P1 0.0000 0.0000 0.0000
P2 0.5000 0.5000 0.0000
Si1 0.5000 0.5000 0.5000
Cl1 0.0000 0.0000 0.5000

Summary:
E_tot ... -4.011 eV/atom
Distance to the lowest polymorph of the same formula ... 564.4 meV/atom
Uncorrected formation energy ... 0.51 eV/atom
Total magnetic moment ... 0.000 Bohr magnetons per cell

***

Repeat the second record exactly.
Here is a relaxed structure of SiP2Cl from Alexandria via LeMat-Bulk. Energies are from PBE-GGA.

abc: 3.6402 3.6316 8.7696
angles: 38.37 90.00 90.00
Element x y z (fractional)
P1 0.0000 0.0000 0.0000
P2 0.5000 0.5000 0.0000
Si1 0.5000 0.5000 0.5000
Cl1 0.0000 0.0000 0.5000

Summary:
E_tot ... -4.011 eV/atom
Distance to the lowest polymorph of the same formula ... 564.4 meV/atom
Uncorrected formation energy ... 0.51 eV/atom
Total magnetic moment ... 0.000 Bohr magnetons per cell

***

Which value of total magnetic moment does entry 1 give? 0.000 Bohr magnetons per cell

***

Which of these has the lowest E_tot? number 2

***

Copy entry 2 word for word.
Here is a relaxed structure of SiP2Cl from Alexandria via LeMat-Bulk. Energies are from PBE-GGA.

abc: 3.6402 3.6316 8.7696
angles: 38.37 90.00 90.00
Element x y z (fractional)
P1 0.0000 0.0000 0.0000
P2 0.5000 0.5000 0.0000
Si1 0.5000 0.5000 0.5000
Cl1 0.0000 0.0000 0.5000

Summary:
E_tot ... -4.011 eV/atom
Distance to the lowest polymorph of the same formula ... 564.4 meV/atom
Uncorrected formation energy ... 0.51 eV/atom
Total magnetic moment ... 0.000 Bohr magnetons per cell